No. 1
## DyBe13 (PBE)

Data for a relaxed DyBe13 crystal.

a b c (Å): 7.1969 7.1969 7.1969
angles (deg): 120.00 90.00 120.00
Last column: nearest neighbours and their distance in Å.
Element x y z (fractional)
Be  0.7904  0.2279  0.4375  10 Be 2.14-2.32
Be  0.0625  0.0000  0.7096  10 Be 2.14-2.32
Be  0.5625  0.7721  0.2096  10 Be 2.14-2.32
Be  0.9375  0.6471  0.7096  10 Be 2.14-2.32
Be  0.5000  0.0000  0.5000  12 Be 2.14
Be  0.7904  0.3529  0.7904  10 Be 2.14-2.32
Be  0.9375  0.2279  0.9375  10 Be 2.14-2.32
Be  0.0625  0.7721  0.0625  10 Be 2.14-2.32
Be  0.7904  0.0000  0.5625  10 Be 2.14-2.32
Be  0.4375  0.6471  0.4375  10 Be 2.14-2.32
Be  0.2096  0.7721  0.5625  10 Be 2.14-2.32
Be  0.4375  0.0000  0.2096  10 Be 2.14-2.32
Be  0.2904  0.2279  0.2904  10 Be 2.14-2.32
Be  0.7096  0.7721  0.7096  10 Be 2.14-2.32
Be  0.2096  0.0000  0.4375  10 Be 2.14-2.32
Be  0.0625  0.3529  0.2904  10 Be 2.14-2.32
Be  0.2096  0.6471  0.2096  10 Be 2.14-2.32
Be  0.2904  0.0000  0.9375  10 Be 2.14-2.32
Be  0.7096  0.0000  0.0625  10 Be 2.14-2.32
Be  0.7096  0.6471  0.9375  10 Be 2.14-2.32
Be  0.5625  0.0000  0.7904  10 Be 2.14-2.32
Be  0.9375  0.0000  0.2904  10 Be 2.14-2.32
Be  0.4375  0.2279  0.7904  10 Be 2.14-2.32
Be  0.2904  0.3529  0.0625  10 Be 2.14-2.32
Be  0.0000  0.0000  0.0000  12 Be 2.14
Be  0.5625  0.3529  0.5625  10 Be 2.14-2.32
Dy  0.7500  0.5000  0.2500  24 Be 2.99
Dy  0.2500  0.5000  0.7500  24 Be 2.99

Symmetry = Fm-3c (226)
Total DFT energy (no corrections) = -111.969 eV for the cell shown

=====

No. 2
## DyBe2 (PBE)

Data for a relaxed DyBe2 crystal.

a b c (Å): 9.5023 9.5023 9.5023
angles (deg): 60.00 60.00 60.00
Last column: nearest neighbours and their distance in Å.
Element x y z (fractional)
Be  0.3750  0.3750  0.3750  2 Dy 2.91
Be  0.8750  0.3750  0.3750  2 Dy 2.91
Be  0.3750  0.3750  0.8750  2 Dy 2.91
Be  0.3750  0.8750  0.3750  2 Dy 2.91
Dy  0.5000  0.5000  0.5000  4 Be 2.91
Dy  0.2500  0.2500  0.2500  4 Be 2.91

Symmetry = Fd-3m (227)
Total DFT energy (no corrections) = -8.830 eV for the cell shown

=====

No. 3
## DyBe5 (PBE)

Data for a relaxed DyBe5 crystal.

a b c (Å): 4.6683 4.6683 4.6683
angles (deg): 60.00 60.00 60.00
Last column: nearest neighbours and their distance in Å.
Element x y z (fractional)
Be  0.3747  0.3747  0.8760  6 Be 2.33-2.34
Be  0.3747  0.8760  0.3747  6 Be 2.33-2.34
Be  0.8760  0.3747  0.3747  6 Be 2.33-2.34
Be  0.3747  0.3747  0.3747  6 Be 2.33-2.34
Be  0.7500  0.7500  0.7500  12 Be 2.74, 4 Dy 2.86
Dy  0.0000  0.0000  0.0000  16 Be 2.74-2.86

Symmetry = F-43m (216)
Total DFT energy (no corrections) = -21.807 eV for the cell shown

=====

No. 4
## DyBe (PBE)

Data for a relaxed DyBe crystal.

a b c (Å): 4.3677 4.3677 4.3677
angles (deg): 60.00 60.00 60.00
Last column: nearest neighbours and their distance in Å.
Element x y z (fractional)
Dy  0.2500  0.2500  0.2500  4 Be 2.67
Be  0.0000  0.0000  0.0000  4 Dy 2.67

Symmetry = F-43m (216)
Total DFT energy (no corrections) = -5.885 eV for the cell shown
Energy above the lowest structure with this stoichiometry = 16.727 kcal/mol of atoms

=====

No. 5
## Dy5ErBe2 (PBE)

Data for a relaxed Dy5ErBe2 crystal.

a b c (Å): 5.2193 5.2193 8.1728
angles (deg): 90.00 90.00 90.00
Last column: nearest neighbours and their distance in Å.
Element x y z (fractional)
Dy  0.5000  0.0000  0.2951  2 Be 2.70
Dy  0.5000  0.0000  0.7049  2 Be 2.70
Dy  0.5000  0.5000  0.0000  2 Be 3.11
Dy  0.0000  0.5000  0.7049  2 Be 2.70
Dy  0.0000  0.5000  0.2951  2 Be 2.70
Er  0.0000  0.0000  0.0000  12 Dy 3.55-3.69
Be  0.5000  0.5000  0.6194  1 Be 1.95
Be  0.5000  0.5000  0.3806  1 Be 1.95

Symmetry = P4/mmm (123)
Total DFT energy (no corrections) = -32.949 eV for the cell shown

=====

No. 6
## DyErBe (PBE)

Data for a relaxed DyErBe crystal.

a b c (Å): 4.7381 4.7381 4.7381
angles (deg): 60.00 60.00 60.00
Last column: nearest neighbours and their distance in Å.
Element x y z (fractional)
Be  0.2500  0.2500  0.2500  4 Er 2.90
Dy  0.7500  0.7500  0.7500  4 Er 2.90
Er  0.0000  0.0000  0.0000  4 Be 2.90, 4 Dy 2.90

Symmetry = F-43m (216)
Total DFT energy (no corrections) = -9.977 eV for the cell shown

=====

No. 7
## DyErBe2Ge2 (PBE)

Data for a relaxed DyErBe2Ge2 crystal.

a b c (Å): 3.9056 3.9056 8.0396
angles (deg): 90.00 90.00 120.00
Last column: nearest neighbours and their distance in Å.
Element x y z (fractional)
Ge  0.6667  0.3333  0.7482  3 Be 2.25
Ge  0.3333  0.6667  0.2518  3 Be 2.25
Er  0.0000  0.0000  0.5000  6 Ge 3.01, 6 Be 3.01
Dy  0.0000  0.0000  0.0000  6 Be 3.03, 6 Ge 3.03
Be  0.6667  0.3333  0.2512  3 Ge 2.25
Be  0.3333  0.6667  0.7488  3 Ge 2.25

Symmetry = P-3m1 (164)
Total DFT energy (no corrections) = -29.866 eV for the cell shown

=====

No. 8
## DyBeFe (PBE)

Data for a relaxed DyBeFe crystal.

a b c (Å): 4.2069 4.2069 4.2069
angles (deg): 60.00 60.00 60.00
Last column: nearest neighbours and their distance in Å.
Element x y z (fractional)
Be  0.2500  0.2500  0.2500  4 Fe 2.58
Fe  0.0000  0.0000  0.0000  4 Dy 2.58, 4 Be 2.58
Dy  0.7500  0.7500  0.7500  4 Fe 2.58

Symmetry = F-43m (216)
Total DFT energy (no corrections) = -14.950 eV for the cell shown
Energy above the lowest structure with this stoichiometry = 2.388 kcal/mol of atoms